Below is crystalline Ga2Te5S12 at its relaxed geometry, with properties calculated at the PBE level.

The structure in CIF format:
```
data_Ga2Te5S12
_cell_length_a 5.9047
_cell_length_b 7.3555
_cell_length_c 15.0043
_cell_angle_alpha 95.19
_cell_angle_beta 96.93
_cell_angle_gamma 97.91
_symmetry_space_group_name_H-M 'P -1'
_symmetry_Int_Tables_number 2
loop_
_symmetry_equiv_pos_as_xyz
'x,y,z'
'-x,-y,-z'
loop_
_atom_site_label
_atom_site_fract_x
_atom_site_fract_y
_atom_site_fract_z
Ga1 0.2242 0.4800 0.0125
Te1 0.0485 0.2376 0.4403
Te2 0.1849 0.9762 0.9205
Te3 0.5000 0.0000 0.5000
S1 0.1361 0.2947 0.1391
S2 0.1989 0.1707 0.5843
S3 0.2979 0.6613 0.5280
S4 0.3222 0.0823 0.2000
S5 0.3392 0.8593 0.7784
S6 0.4315 0.3262 0.9152
```

- electronic total energy (eV/atom) = -3.71
- raw formation energy (meV/atom) = 39